Arrangement w

DFT (GGA-PBE) results for a geometry-optimized Tb2GeS structure.

Output
D(E_F), states/eV/atom: 0.364
ρ, g/cm³: 7.4

Geometry as POSCAR:
```
Tb2GeS
1.0
2.029 1.172 6.669
-2.029 1.172 6.669
0.000 -2.343 6.669
Tb Ge S
2 1 1
direct
0.250 0.250 0.250
0.750 0.750 0.750
0.000 0.000 0.000
0.500 0.500 0.500
```



Arrangement x

DFT (GGA-PBE) results for a geometry-optimized Tb2GeS structure.

Output
D(E_F), states/eV/atom: 0.659
ρ, g/cm³: 7.2

Geometry as POSCAR:
```
Tb2GeS
1.0
2.003 1.157 7.029
-2.003 1.157 7.029
0.000 -2.313 7.029
Tb Ge S
2 1 1
direct
0.000 0.000 0.000
0.174 0.174 0.174
0.587 0.587 0.587
0.757 0.757 0.757
```



Arrangement y

DFT (GGA-PBE) results for a geometry-optimized Tb2GeS structure.

Output
D(E_F), states/eV/atom: 0.214
ρ, g/cm³: 7.4

Geometry as POSCAR:
```
Tb2GeS
1.0
-2.870 2.870 5.747
2.870 -2.870 5.747
2.870 2.870 -5.747
Tb Ge S
4 2 2
direct
0.123 0.373 0.750
0.373 0.123 0.250
0.627 0.877 0.750
0.877 0.627 0.250
0.375 0.625 0.750
0.625 0.375 0.250
0.125 0.875 0.250
0.875 0.125 0.750
```



Quick ranking, most stable first: arrangement y, arrangement w, arrangement x.



Arrangement w

DFT (GGA-PBE) results for a geometry-optimized TcGeS3 structure.

Output
D(E_F), states/eV/atom: 1.149
ρ, g/cm³: 4.4

Geometry as POSCAR:
```
TcGeS3
1.0
4.662 0.000 0.000
0.000 4.662 0.000
0.000 0.000 4.662
Tc Ge S
1 1 3
direct
0.000 0.000 0.000
0.500 0.500 0.500
0.000 0.000 0.500
0.000 0.500 0.000
0.500 0.000 0.000
```



Arrangement x

DFT (GGA-PBE) results for a geometry-optimized TcGeS3 structure.

Output
D(E_F), states/eV/atom: 0.541
ρ, g/cm³: 4.3

Geometry as POSCAR:
```
TcGeS3
1.0
4.685 0.000 0.000
0.000 4.685 0.000
0.000 0.000 4.685
Tc Ge S
1 1 3
direct
0.000 0.000 0.000
0.500 0.500 0.500
0.000 0.500 0.500
0.500 0.000 0.500
0.500 0.500 0.000
```



Quick ranking, most stable first: arrangement w, arrangement x.



Arrangement w

DFT (GGA-PBE) results for a geometry-optimized GeTeS3 structure.

Output
D(E_F), states/eV/atom: 0.741
ρ, g/cm³: 4.7

Geometry as POSCAR:
```
GeTeS3
1.0
4.716 0.000 0.000
0.000 4.716 0.000
0.000 0.000 4.716
Ge Te S
1 1 3
direct
0.000 0.000 0.000
0.500 0.500 0.500
0.000 0.000 0.500
0.000 0.500 0.000
0.500 0.000 0.000
```



Arrangement x

DFT (GGA-PBE) results for a geometry-optimized GeTeS3 structure.

Output
D(E_F), states/eV/atom: 0.264
ρ, g/cm³: 4.0

Geometry as POSCAR:
```
GeTeS3
1.0
3.880 0.000 0.000
0.000 8.811 0.000
-0.013 0.000 7.246
Ge Te S
2 2 6
direct
0.000 0.000 0.000
0.000 0.500 0.000
0.499 0.250 0.572
0.501 0.750 0.428
0.003 0.250 0.114
0.500 0.026 0.765
0.500 0.474 0.765
0.500 0.526 0.235
0.500 0.974 0.235
0.997 0.750 0.886
```



Quick ranking, most stable first: arrangement x, arrangement w.



Arrangement w

DFT (GGA-PBE) results for a geometry-optimized Ge2TeS2 structure.

Output
D(E_F), states/eV/atom: 0.662
ρ, g/cm³: 5.2

Geometry as POSCAR:
```
Ge2TeS2
1.0
-2.323 2.323 4.949
2.323 -2.323 4.949
2.323 2.323 -4.949
Ge Te S
2 1 2
direct
0.141 0.141 0.000
0.859 0.859 0.000
0.500 0.500 0.000
0.250 0.750 0.500
0.750 0.250 0.500
```



Arrangement x

DFT (GGA-PBE) results for a geometry-optimized Ge2TeS2 structure.

Output
ρ, g/cm³: 3.1

Geometry as POSCAR:
```
Ge2TeS2
1.0
4.646 -7.374 0.000
4.646 7.374 0.000
-4.370 0.000 5.331
Ge Te S
4 2 4
direct
0.065 0.935 0.500
0.462 0.983 0.649
0.935 0.065 0.000
0.983 0.462 0.149
0.768 0.929 0.520
0.929 0.768 0.020
0.130 0.723 0.578
0.221 0.393 0.262
0.393 0.221 0.762
0.723 0.130 0.078
```



Arrangement y

DFT (GGA-PBE) results for a geometry-optimized Ge2TeS2 structure.

Output
D(E_F), states/eV/atom: 0.392
ρ, g/cm³: 3.4

Geometry as POSCAR:
```
Ge2TeS2
1.0
-3.554 3.554 6.585
3.554 -3.554 6.585
3.554 3.554 -6.585
Ge Te S
4 2 4
direct
0.289 0.000 0.289
0.711 0.000 0.711
0.750 0.539 0.789
0.750 0.961 0.211
0.129 0.129 0.000
0.879 0.379 0.500
0.047 0.808 0.239
0.558 0.297 0.739
0.558 0.819 0.261
0.569 0.808 0.761
```



Arrangement z

DFT (GGA-PBE) results for a geometry-optimized Ge2TeS2 structure.

Output
D(E_F), states/eV/atom: 0.434
ρ, g/cm³: 4.4

Geometry as POSCAR:
```
Ge2TeS2
1.0
8.596 0.000 0.000
0.000 8.596 0.000
0.000 0.000 3.426
Ge Te S
4 2 4
direct
0.242 0.258 0.000
0.258 0.758 0.000
0.742 0.242 0.000
0.758 0.742 0.000
0.000 0.000 0.000
0.500 0.500 0.000
0.115 0.385 0.500
0.385 0.885 0.500
0.615 0.115 0.500
0.885 0.615 0.500
```



Quick ranking, most stable first: arrangement x, arrangement z, arrangement y, arrangement w.



Arrangement w

DFT (GGA-PBE) results for a geometry-optimized TiGeS3 structure.

Output
D(E_F), states/eV/atom: 0.028
ρ, g/cm³: 3.2

Geometry as POSCAR:
```
TiGeS3
1.0
9.247 0.000 0.000
0.000 3.487 0.000
0.000 0.000 13.775
Ti Ge S
4 4 12
direct
0.147 0.250 0.047
0.353 0.750 0.547
0.647 0.250 0.453
0.853 0.750 0.953
0.084 0.250 0.654
0.416 0.750 0.154
0.584 0.250 0.846
0.916 0.750 0.346
0.017 0.250 0.894
0.186 0.250 0.491
0.243 0.750 0.708
0.257 0.250 0.208
0.314 0.750 0.991
0.483 0.750 0.394
0.517 0.250 0.606
0.686 0.250 0.009
0.743 0.750 0.792
0.757 0.250 0.292
0.814 0.750 0.509
0.983 0.750 0.106
```



Arrangement x

DFT (GGA-PBE) results for a geometry-optimized TiGeS3 structure.

Output
ρ, g/cm³: 2.8

Geometry as POSCAR:
```
TiGeS3
1.0
1.943 -10.496 0.000
1.943 10.496 0.000
0.000 0.000 6.303
Ti Ge S
2 2 6
direct
0.113 0.887 0.500
0.887 0.113 0.000
0.334 0.666 0.407
0.666 0.334 0.907
0.118 0.882 0.151
0.209 0.791 0.654
0.430 0.570 0.160
0.570 0.430 0.660
0.791 0.209 0.154
0.882 0.118 0.651
```



Quick ranking, most stable first: arrangement w, arrangement x.



Arrangement w

DFT (GGA-PBE) results for a geometry-optimized Ti2Ge2S structure.

Output
D(E_F), states/eV/atom: 0.308
ρ, g/cm³: 5.4

Geometry as POSCAR:
```
Ti2Ge2S
1.0
-1.752 1.752 6.797
1.752 -1.752 6.797
1.752 1.752 -6.797
Ti Ge S
2 2 1
direct
0.099 0.099 0.000
0.901 0.901 0.000
0.250 0.750 0.500
0.750 0.250 0.500
0.500 0.500 0.000
```



Arrangement x

DFT (GGA-PBE) results for a geometry-optimized Ti2Ge2S structure.

Output
D(E_F), states/eV/atom: 1.003
ρ, g/cm³: 5.4

Geometry as POSCAR:
```
Ti2Ge2S
1.0
6.656 0.000 0.000
0.000 6.656 0.000
0.000 0.000 3.780
Ti Ge S
4 4 2
direct
0.175 0.325 0.000
0.325 0.825 0.000
0.675 0.175 0.000
0.825 0.675 0.000
0.130 0.630 0.500
0.370 0.130 0.500
0.630 0.870 0.500
0.870 0.370 0.500
0.000 0.000 0.000
0.500 0.500 0.000
```



Quick ranking, most stable first: arrangement x, arrangement w.



Arrangement w

DFT (GGA-PBE) results for a geometry-optimized Ti4GeS8 structure.

Output
D(E_F), states/eV/atom: 0.555
ρ, g/cm³: 3.4

Geometry as POSCAR:
```
Ti4GeS8
1.0
0.000 5.029 5.029
5.029 0.000 5.029
5.029 5.029 0.000
Ti Ge S
4 1 8
direct
0.112 0.112 0.112
0.112 0.112 0.665
0.112 0.665 0.112
0.665 0.112 0.112
0.500 0.500 0.500
0.365 0.365 0.365
0.365 0.365 0.905
0.365 0.905 0.365
0.373 0.876 0.876
0.876 0.373 0.876
0.876 0.876 0.373
0.876 0.876 0.876
0.905 0.365 0.365
```



Arrangement x

DFT (GGA-PBE) results for a geometry-optimized Ti4GeS8 structure.

Output
D(E_F), states/eV/atom: 0.476
ρ, g/cm³: 3.3

Geometry as POSCAR:
```
Ti4GeS8
1.0
3.413 1.970 6.407
-3.413 1.970 6.407
0.000 -3.940 6.407
Ti Ge S
4 1 8
direct
0.000 0.000 0.000
0.000 0.500 0.500
0.500 0.000 0.500
0.500 0.500 0.000
0.500 0.500 0.500
0.243 0.243 0.744
0.243 0.744 0.243
0.256 0.757 0.757
0.260 0.260 0.260
0.740 0.740 0.740
0.744 0.243 0.243
0.757 0.256 0.757
0.757 0.757 0.256
```



Quick ranking, most stable first: arrangement x, arrangement w.



Arrangement w

DFT (GGA-PBE) results for a geometry-optimized TlGe3S structure.

Output
D(E_F), states/eV/atom: 0.380
ρ, g/cm³: 6.0

Geometry as POSCAR:
```
TlGe3S
1.0
5.020 0.000 0.000
0.000 5.020 0.000
0.000 0.000 5.020
Tl Ge S
1 3 1
direct
0.000 0.000 0.000
0.000 0.500 0.500
0.500 0.000 0.500
0.500 0.500 0.000
0.500 0.500 0.500
```



Arrangement x

DFT (GGA-PBE) results for a geometry-optimized TlGe3S structure.

Output
D(E_F), states/eV/atom: 0.384
ρ, g/cm³: 4.9

Geometry as POSCAR:
```
TlGe3S
1.0
5.363 0.000 0.000
0.000 5.363 0.000
0.000 0.000 5.363
Tl Ge S
1 3 1
direct
0.000 0.000 0.000
0.000 0.000 0.500
0.000 0.500 0.000
0.500 0.000 0.000
0.500 0.500 0.500
```



Quick ranking, most stable first: arrangement w, arrangement x.